Th4GeSb4: optimized geometry, PBE-GGA. Values from VASP.

Summary:
For the total energy, the calculation gives -54.1 eV for the cell shown. The calculation puts the energy relative to the elements, uncorrected at -0.369 eV/atom. The space group is No. 121. The value obtained for the size of the total moment is 0.0000 μB per atom.

The structure in Quantum ESPRESSO input format:
```
&SYSTEM
  ibrav = 0, nat = 9, ntyp = 3
/
ATOMIC_SPECIES
Th 232.04 Th.upf
Sb 121.76 Sb.upf
Ge 72.64 Ge.upf
ATOMIC_POSITIONS crystal
Th 0.9016 0.3704 0.2721
Th 0.0984 0.0984 0.7279
Th 0.6296 0.6296 0.7279
Th 0.3704 0.9016 0.2721
Sb 0.3279 0.3279 0.6558
Sb 0.5000 0.0000 0.0000
Sb 0.0000 0.5000 0.0000
Sb 0.6721 0.6721 0.3442
Ge 0.0000 0.0000 0.0000
CELL_PARAMETERS angstrom
-5.1310 -3.5897 5.4356
3.1954 -7.4167 -1.8817
3.8899 5.9821 1.2977
```